[1]
{"formula": "YHgSb2I", "functional": "GGA-PBE", "state": "relaxed", "cell": [[5.4321, 0.0000, 0.0000], [0.0000, 5.4321, 0.0000], [0.0000, 0.0000, 6.0383]], "species": ["Sb", "Y", "I", "Hg", "Sb"], "fractional_positions": [[0.5000, 0.0000, 0.0000], [0.5000, 0.5000, 0.5000], [0.0000, 0.0000, 0.5000], [0.0000, 0.0000, 0.0000], [0.0000, 0.5000, 0.0000]], "raw_formation_energy_ev_per_atom": 0.33, "magnetic_moment_mub_per_atom": 0.000}

***

[2]
{"formula": "Ti7FePd2", "functional": "GGA-PBE", "state": "relaxed", "cell": [[6.3422, 0.0000, 0.0000], [3.1711, 5.4925, 0.0000], [3.1711, 1.8308, 5.1784]], "species": ["Ti", "Pd", "Ti", "Ti", "Ti", "Ti", "Ti", "Fe", "Pd", "Ti"], "fractional_positions": [[0.7556, 0.2444, 0.2444], [0.7500, 0.7500, 0.7500], [0.7556, 0.7556, 0.2444], [0.2444, 0.7556, 0.7556], [0.2444, 0.2444, 0.7556], [0.5000, 0.5000, 0.5000], [0.7556, 0.2444, 0.7556], [0.0000, 0.0000, 0.0000], [0.2500, 0.2500, 0.2500], [0.2444, 0.7556, 0.2444]], "magnetic_moment_mub_per_atom": 0.000, "e_form_ev_per_atom": 0.505}

***

[3]
{"formula": "Cr2ReRh", "functional": "GGA-PBE", "state": "relaxed", "cell": [[-1.5227, 0.2207, -2.1877], [-0.2499, -2.6612, -0.0951], [-6.0733, 0.4177, 4.2694]], "species": ["Re", "Rh", "Cr", "Cr"], "fractional_positions": [[0.5000, 0.5000, 0.2500], [0.5000, 0.5000, 0.7500], [0.0000, 0.0000, 0.9971], [0.0000, 0.0000, 0.5029]], "magnetic_moment_mub_per_atom": 0.000, "e_form_ev_per_atom": 0.098}

***

[4]
{"formula": "HfRu2N", "functional": "GGA-PBE", "state": "relaxed", "cell": [[6.8532, 0.0000, 0.0000], [0.0000, 6.8532, 0.0000], [3.4266, 3.4266, 2.4385]], "species": ["Ru", "Ru", "Hf", "Ru", "N", "N", "Hf", "Ru"], "fractional_positions": [[0.8750, 0.7457, 0.7500], [0.4957, 0.1250, 0.2500], [0.0000, 0.0000, 0.0000], [0.2543, 0.6250, 0.2500], [0.5000, 0.5000, 0.0000], [0.2500, 0.7500, 0.5000], [0.7500, 0.2500, 0.5000], [0.3750, 0.5043, 0.7500]], "raw_formation_energy_ev_per_atom": -0.19, "magnetic_moment_mub_per_atom": 0.000}

***

[5]
{"formula": "MnRe2AgOs", "functional": "GGA-PBE", "state": "relaxed", "cell": [[-4.1461, 1.6334, -1.5999], [-2.1364, -2.3486, 3.1386], [0.3067, 3.6804, 2.9628]], "species": ["Os", "Ag", "Mn", "Re", "Re"], "fractional_positions": [[0.5000, 0.5000, 0.5000], [0.0000, 0.0000, 0.0000], [0.0000, 0.5000, 0.0000], [0.5000, 0.0000, 0.0000], [0.0000, 0.0000, 0.5000]], "magnetic_moment_mub_per_atom": 0.089, "e_form_ev_per_atom": 2.912}

***

[6]
{"formula": "Rb5Ti2F12", "functional": "GGA-PBE", "state": "relaxed", "cell": [[-6.3172, -8.7975, -0.7390], [0.0873, -9.0098, -1.1162], [4.5811, -0.4368, 6.6659]], "species": ["F", "Rb", "F", "F", "F", "Ti", "F", "F", "F", "F", "Rb", "Rb", "F", "F", "Ti", "F", "F", "Rb", "Rb"], "fractional_positions": [[0.0148, 0.4281, 0.8182], [0.1566, 0.1386, 0.2851], [0.9154, 0.8764, 0.4172], [0.1493, 0.8312, 0.3086], [0.1147, 0.1312, 0.6098], [0.9462, 0.2877, 0.7546], [0.6373, 0.6217, 0.5210], [0.7349, 0.0619, 0.0225], [0.2681, 0.9352, 0.9854], [0.9519, 0.6062, 0.2147], [0.5747, 0.4260, 0.2663], [0.4032, 0.5956, 0.7220], [0.8827, 0.1406, 0.6979], [0.3606, 0.3726, 0.4926], [0.0525, 0.7139, 0.2566], [0.2057, 0.5538, 0.1082], [0.7782, 0.4506, 0.9012], [0.8524, 0.8624, 0.7120], [0.5008, 0.9663, 0.9061]], "raw_formation_energy_ev_per_atom": -3.14, "magnetic_moment_mub_per_atom": 0.054}

***

[7]
{"formula": "Cd4CoCl", "functional": "GGA-PBE", "state": "relaxed", "cell": [[0.0000, 4.0847, 4.0847], [4.0847, 0.0000, 4.0847], [4.0847, 4.0847, 0.0000]], "species": ["Cd", "Cd", "Co", "Cd", "Cl", "Cd"], "fractional_positions": [[0.8774, 0.3742, 0.3742], [0.3742, 0.3742, 0.3742], [0.0000, 0.0000, 0.0000], [0.3742, 0.3742, 0.8774], [0.7500, 0.7500, 0.7500], [0.3742, 0.8774, 0.3742]], "raw_formation_energy_ev_per_atom": 0.42, "magnetic_moment_mub_per_atom": 0.338}

***

[8]
{"formula": "NpInGaPd", "functional": "GGA-PBE", "state": "relaxed", "cell": [[-0.5211, -4.4361, -1.9435], [0.2066, -3.9464, 2.8480], [-4.0346, -2.5846, 0.8770]], "species": ["Pd", "Np", "In", "Ga"], "fractional_positions": [[0.5000, 0.5000, 0.5000], [0.7500, 0.7500, 0.7500], [0.2500, 0.2500, 0.2500], [0.0000, 0.0000, 0.0000]], "magnetic_moment_mub_per_atom": 0.970, "e_form_ev_per_atom": -0.207}

***

[9]
{"formula": "Hf3Zn3Pd2", "functional": "GGA-PBE", "state": "relaxed", "cell": [[-2.3885, -0.2563, -2.4923], [-3.6961, -4.3511, 3.9897], [-1.1208, 6.8643, 0.3683]], "species": ["Hf", "Pd", "Zn", "Pd", "Hf", "Zn", "Hf", "Zn"], "fractional_positions": [[0.5000, 0.4053, 0.4053], [0.0000, 0.3333, 0.6667], [0.0000, 0.0000, 0.2259], [0.0000, 0.6667, 0.3333], [0.5000, 0.0000, 0.5947], [0.0000, 0.7741, 0.7741], [0.5000, 0.5947, 0.0000], [0.0000, 0.2259, 0.0000]], "magnetic_moment_mub_per_atom": 0.000, "e_form_ev_per_atom": -0.385}

***

[10]
{"formula": "Ca5Zn4Pb", "functional": "GGA-PBE", "state": "relaxed", "cell": [[3.7108, 0.0000, 0.0000], [0.0000, 3.7108, 0.0000], [0.0000, 0.0000, 18.8183]], "species": ["Pb", "Zn", "Ca", "Zn", "Ca", "Ca", "Ca", "Ca", "Zn", "Zn"], "fractional_positions": [[0.0000, 0.0000, 0.0000], [0.0000, 0.0000, 0.2113], [0.5000, 0.5000, 0.1130], [0.0000, 0.0000, 0.4041], [0.5000, 0.5000, 0.5000], [0.5000, 0.5000, 0.6931], [0.5000, 0.5000, 0.8870], [0.5000, 0.5000, 0.3069], [0.0000, 0.0000, 0.7887], [0.0000, 0.0000, 0.5959]], "magnetic_moment_mub_per_atom": 0.000, "e_form_ev_per_atom": -0.300}